Record 1
Lu2Ga5Ni12: relaxed, GGA-PBEsol.

Lattice parameters (Å, degrees): 8.2808 8.2808 8.1492 90.00 90.00 120.00
Closest atoms and distances in Å follow each position.
Fractional coordinates of all 38 atoms:
Lu 0.0000 0.0000 0.2500  12 Ni 2.82-3.05
Lu 0.0000 0.0000 0.7500  12 Ni 2.82-3.05
Lu 0.3333 0.6667 0.2500  8 Ga 2.90-3.14, 12 Ni 2.92-3.07
Lu 0.6667 0.3333 0.7500  8 Ga 2.90-3.14, 12 Ni 2.92-3.07
Ga 0.0000 0.5000 0.0000  8 Ni 2.40-2.44, 2 Ga 2.54
Ga 0.0000 0.5000 0.5000  8 Ni 2.40-2.44, 2 Ga 2.54
Ga 0.3333 0.6667 0.6053  4 Ga 2.36-2.54, 3 Ni 2.60
Ga 0.3333 0.6667 0.8947  4 Ga 2.36-2.54, 3 Ni 2.60
Ga 0.5000 0.0000 0.0000  8 Ni 2.40-2.44, 2 Ga 2.54
Ga 0.5000 0.0000 0.5000  8 Ni 2.40-2.44, 2 Ga 2.54
Ga 0.5000 0.5000 0.0000  8 Ni 2.40-2.44, 2 Ga 2.54
Ga 0.5000 0.5000 0.5000  8 Ni 2.40-2.44, 2 Ga 2.54
Ga 0.6667 0.3333 0.1053  4 Ga 2.36-2.54, 3 Ni 2.60
Ga 0.6667 0.3333 0.3947  4 Ga 2.36-2.54, 3 Ni 2.60
Ni 0.0283 0.3533 0.7500  2 Ga 2.44, 6 Ni 2.46-2.66
Ni 0.0283 0.6750 0.7500  2 Ga 2.44, 6 Ni 2.46-2.66
Ni 0.1660 0.3320 0.0158  6 Ni 2.39-2.49, 3 Ga 2.40-2.60
Ni 0.1660 0.3320 0.4842  6 Ni 2.39-2.49, 3 Ga 2.40-2.60
Ni 0.1660 0.8340 0.0158  6 Ni 2.39-2.49, 3 Ga 2.40-2.60
Ni 0.1660 0.8340 0.4842  6 Ni 2.39-2.49, 3 Ga 2.40-2.60
Ni 0.3250 0.3533 0.7500  2 Ga 2.44, 6 Ni 2.46-2.66
Ni 0.3250 0.9717 0.7500  2 Ga 2.44, 6 Ni 2.46-2.66
Ni 0.3320 0.1660 0.5158  6 Ni 2.39-2.49, 3 Ga 2.40-2.60
Ni 0.3320 0.1660 0.9842  6 Ni 2.39-2.49, 3 Ga 2.40-2.60
Ni 0.3533 0.0283 0.2500  2 Ga 2.44, 6 Ni 2.46-2.66
Ni 0.3533 0.3250 0.2500  2 Ga 2.44, 6 Ni 2.46-2.66
Ni 0.6467 0.6750 0.7500  2 Ga 2.44, 6 Ni 2.46-2.66
Ni 0.6467 0.9717 0.7500  2 Ga 2.44, 6 Ni 2.46-2.66
Ni 0.6680 0.8340 0.0158  6 Ni 2.39-2.49, 3 Ga 2.40-2.60
Ni 0.6680 0.8340 0.4842  6 Ni 2.39-2.49, 3 Ga 2.40-2.60
Ni 0.6750 0.0283 0.2500  2 Ga 2.44, 6 Ni 2.46-2.66
Ni 0.6750 0.6467 0.2500  2 Ga 2.44, 6 Ni 2.46-2.66
Ni 0.8340 0.1660 0.5158  6 Ni 2.39-2.49, 3 Ga 2.40-2.60
Ni 0.8340 0.1660 0.9842  6 Ni 2.39-2.49, 3 Ga 2.40-2.60
Ni 0.8340 0.6680 0.5158  6 Ni 2.39-2.49, 3 Ga 2.40-2.60
Ni 0.8340 0.6680 0.9842  6 Ni 2.39-2.49, 3 Ga 2.40-2.60
Ni 0.9717 0.3250 0.2500  2 Ga 2.44, 6 Ni 2.46-2.66
Ni 0.9717 0.6467 0.2500  2 Ga 2.44, 6 Ni 2.46-2.66

- energy of formation from the pure elements (eV/atom) = -0.3686
- total magnetic moment (μB per cell) = 0.00
- symmetry = P6_3/mmc, No. 194

---

Record 2
LuGa2Ni3: relaxed, GGA-PBEsol.

Lattice parameters (Å, degrees): 8.5679 8.5679 3.9994 90.00 90.00 120.00
Closest atoms and distances in Å follow each position.
Fractional coordinates of all 18 atoms:
Lu 0.0000 0.0000 0.0000  6 Ni 2.76, 6 Ga 3.06
Lu 0.3333 0.6667 0.5000  9 Ni 2.96-3.03, 9 Ga 3.16-3.18
Lu 0.6667 0.3333 0.5000  9 Ni 2.96-3.03, 9 Ga 3.16-3.18
Ga 0.0000 0.2703 0.5000  6 Ni 2.39-2.43
Ga 0.0000 0.5167 0.0000  6 Ni 2.32-2.56
Ga 0.2703 0.0000 0.5000  6 Ni 2.39-2.43
Ga 0.4833 0.4833 0.0000  6 Ni 2.32-2.56
Ga 0.5167 0.0000 0.0000  6 Ni 2.32-2.56
Ga 0.7297 0.7297 0.5000  6 Ni 2.39-2.43
Ni 0.0000 0.7041 0.5000  4 Ga 2.43-2.56, 4 Ni 2.49
Ni 0.1750 0.3723 0.0000  4 Ga 2.32-2.39, 2 Ni 2.49
Ni 0.1973 0.8250 0.0000  4 Ga 2.32-2.39, 2 Ni 2.49
Ni 0.2959 0.2959 0.5000  4 Ga 2.43-2.56, 4 Ni 2.49
Ni 0.3723 0.1750 0.0000  4 Ga 2.32-2.39, 2 Ni 2.49
Ni 0.6277 0.8027 0.0000  4 Ga 2.32-2.39, 2 Ni 2.49
Ni 0.7041 0.0000 0.5000  4 Ga 2.43-2.56, 4 Ni 2.49
Ni 0.8027 0.6277 0.0000  4 Ga 2.32-2.39, 2 Ni 2.49
Ni 0.8250 0.1973 0.0000  4 Ga 2.32-2.39, 2 Ni 2.49

- energy of formation from the pure elements (eV/atom) = -0.5991
- total magnetic moment (μB per cell) = 0.00
- symmetry = P-62m, No. 189

---

Record 3
Lu4Ga12Ni: relaxed, GGA-PBEsol.

Lattice parameters (Å, degrees): 7.2284 7.2284 7.2284 109.47 109.47 109.47
Closest atoms and distances in Å follow each position.
Fractional coordinates of all 17 atoms:
Lu 0.0000 0.0000 0.5000  12 Ga 2.95-2.97
Lu 0.0000 0.5000 0.0000  12 Ga 2.95-2.97
Lu 0.5000 0.0000 0.0000  12 Ga 2.95-2.97
Lu 0.5000 0.5000 0.5000  12 Ga 2.95-2.97
Ga 0.0000 0.2870 0.2870  1 Ni 2.40
Ga 0.0000 0.7130 0.7130  1 Ni 2.40
Ga 0.2500 0.5000 0.7500  8 Ga 2.74-2.95, 4 Lu 2.95
Ga 0.2500 0.7500 0.5000  8 Ga 2.74-2.95, 4 Lu 2.95
Ga 0.2870 0.0000 0.2870  1 Ni 2.40
Ga 0.2870 0.2870 0.0000  1 Ni 2.40
Ga 0.5000 0.2500 0.7500  8 Ga 2.74-2.95, 4 Lu 2.95
Ga 0.5000 0.7500 0.2500  8 Ga 2.74-2.95, 4 Lu 2.95
Ga 0.7130 0.0000 0.7130  1 Ni 2.40
Ga 0.7130 0.7130 0.0000  1 Ni 2.40
Ga 0.7500 0.2500 0.5000  8 Ga 2.74-2.95, 4 Lu 2.95
Ga 0.7500 0.5000 0.2500  8 Ga 2.74-2.95, 4 Lu 2.95
Ni 0.0000 0.0000 0.0000  6 Ga 2.40

- energy of formation from the pure elements (eV/atom) = -0.5772
- total magnetic moment (μB per cell) = 0.00
- symmetry = Im-3m, No. 229

---

Record 4
LuGaO3: relaxed, GGA-PBEsol.

Lattice parameters (Å, degrees): 3.4178 3.4178 11.5552 90.00 90.00 120.00
Closest atoms and distances in Å follow each position.
Fractional coordinates of all 10 atoms:
Lu 0.0000 0.0000 0.0000  6 O 2.20
Lu 0.0000 0.0000 0.5000  6 O 2.20
Ga 0.3333 0.6667 0.2500  5 O 1.91-1.97
Ga 0.6667 0.3333 0.7500  5 O 1.91-1.97
O 0.0000 0.0000 0.2500  3 Ga 1.97
O 0.0000 0.0000 0.7500  3 Ga 1.97
O 0.3333 0.6667 0.0851  1 Ga 1.91
O 0.3333 0.6667 0.4149  1 Ga 1.91
O 0.6667 0.3333 0.5851  1 Ga 1.91
O 0.6667 0.3333 0.9149  1 Ga 1.91

- uncorrected energy (eV per atom) = -7.63
- total magnetic moment (μB per cell) = 0.00
- symmetry = P6_3/mmc, No. 194

---

Record 5
LuGaO3: relaxed, GGA-PBEsol.

Lattice parameters (Å, degrees): 5.9028 5.9028 11.5205 90.00 90.00 120.00
Closest atoms and distances in Å follow each position.
Fractional coordinates of all 30 atoms:
Lu 0.0000 0.0000 0.0000  7 O 2.20-2.31
Lu 0.0000 0.0000 0.5000  7 O 2.20-2.31
Lu 0.3333 0.6667 0.0418  7 O 2.20-2.43
Lu 0.3333 0.6667 0.5418  7 O 2.20-2.43
Lu 0.6667 0.3333 0.0418  7 O 2.20-2.43
Lu 0.6667 0.3333 0.5418  7 O 2.20-2.43
Ga 0.0000 0.3339 0.2745  5 O 1.89-1.99
Ga 0.0000 0.6661 0.7745  5 O 1.89-1.99
Ga 0.3339 0.0000 0.2745  5 O 1.89-1.99
Ga 0.3339 0.3339 0.7745  5 O 1.89-1.99
Ga 0.6661 0.0000 0.7745  5 O 1.89-1.99
Ga 0.6661 0.6661 0.2745  5 O 1.89-1.99
O 0.0000 0.0000 0.2997  3 Ga 1.99
O 0.0000 0.0000 0.7997  3 Ga 1.99
O 0.0000 0.3048 0.1095  1 Ga 1.91
O 0.0000 0.3618 0.4380  1 Ga 1.89
O 0.0000 0.6382 0.9380  1 Ga 1.89
O 0.0000 0.6952 0.6095  1 Ga 1.91
O 0.3048 0.0000 0.1095  1 Ga 1.91
O 0.3048 0.3048 0.6095  1 Ga 1.91
O 0.3333 0.6667 0.2527  3 Ga 1.98
O 0.3333 0.6667 0.7527  3 Ga 1.98
O 0.3618 0.0000 0.4380  1 Ga 1.89
O 0.3618 0.3618 0.9380  1 Ga 1.89
O 0.6382 0.0000 0.9380  1 Ga 1.89
O 0.6382 0.6382 0.4380  1 Ga 1.89
O 0.6667 0.3333 0.2527  3 Ga 1.98
O 0.6667 0.3333 0.7527  3 Ga 1.98
O 0.6952 0.0000 0.6095  1 Ga 1.91
O 0.6952 0.6952 0.1095  1 Ga 1.91

- uncorrected energy (eV per atom) = -7.66
- total magnetic moment (μB per cell) = 0.00
- symmetry = P6_3cm, No. 185

---

Record 6
LuGaO3: relaxed, GGA-PBEsol.

Lattice parameters (Å, degrees): 5.4903 7.4401 5.1413 90.00 90.00 90.00
Closest atoms and distances in Å follow each position.
Fractional coordinates of all 20 atoms:
Lu 0.0747 0.2500 0.0224  6 O 2.15-2.41
Lu 0.4253 0.7500 0.5224  6 O 2.15-2.41
Lu 0.5747 0.2500 0.4776  6 O 2.15-2.41
Lu 0.9253 0.7500 0.9776  6 O 2.15-2.41
Ga 0.0000 0.0000 0.5000  6 O 1.97-2.01
Ga 0.0000 0.5000 0.5000  6 O 1.97-2.01
Ga 0.5000 0.0000 0.0000  6 O 1.97-2.01
Ga 0.5000 0.5000 0.0000  6 O 1.97-2.01
O 0.0463 0.7500 0.3758  2 Ga 1.98, 2 Lu 2.15-2.21
O 0.1916 0.5622 0.8114  2 Ga 1.97-2.01, 1 Lu 2.20
O 0.1916 0.9378 0.8114  2 Ga 1.97-2.01, 1 Lu 2.20
O 0.3084 0.0622 0.3114  2 Ga 1.97-2.01, 1 Lu 2.20
O 0.3084 0.4378 0.3114  2 Ga 1.97-2.01, 1 Lu 2.20
O 0.4537 0.2500 0.8758  2 Ga 1.98, 2 Lu 2.15-2.21
O 0.5463 0.7500 0.1242  2 Ga 1.98, 2 Lu 2.15-2.21
O 0.6916 0.5622 0.6886  2 Ga 1.97-2.01, 1 Lu 2.20
O 0.6916 0.9378 0.6886  2 Ga 1.97-2.01, 1 Lu 2.20
O 0.8084 0.0622 0.1886  2 Ga 1.97-2.01, 1 Lu 2.20
O 0.8084 0.4378 0.1886  2 Ga 1.97-2.01, 1 Lu 2.20
O 0.9537 0.2500 0.6242  2 Ga 1.98, 2 Lu 2.15-2.21

- uncorrected energy (eV per atom) = -7.63
- total magnetic moment (μB per cell) = 0.00
- symmetry = Pnma, No. 62

---

Record 7
LuGa2Pd: relaxed, GGA-PBEsol.

Lattice parameters (Å, degrees): 5.3837 5.3837 6.4673 90.00 90.00 132.77
Closest atoms and distances in Å follow each position.
Fractional coordinates of all 8 atoms:
Lu 0.0867 0.9133 0.7500  3 Pd 2.84-3.00, 6 Ga 2.94-3.10
Lu 0.9133 0.0867 0.2500  3 Pd 2.84-3.00, 6 Ga 2.94-3.10
Ga 0.3727 0.6273 0.5520  2 Ga 2.56-2.60, 3 Pd 2.58-2.61
Ga 0.3727 0.6273 0.9480  2 Ga 2.56-2.60, 3 Pd 2.58-2.61
Ga 0.6273 0.3727 0.0520  2 Ga 2.56-2.60, 3 Pd 2.58-2.61
Ga 0.6273 0.3727 0.4480  2 Ga 2.56-2.60, 3 Pd 2.58-2.61
Pd 0.2014 0.7986 0.2500  6 Ga 2.58-2.61, 1 Lu 2.84
Pd 0.7986 0.2014 0.7500  6 Ga 2.58-2.61, 1 Lu 2.84

- energy of formation from the pure elements (eV/atom) = -0.8357
- total magnetic moment (μB per cell) = 0.00
- symmetry = Cmcm, No. 63

---

Record 8
Lu3Ga8Rh3: relaxed, GGA-PBEsol.

Lattice parameters (Å, degrees): 7.9818 7.9818 7.9818 150.34 106.28 81.42
Closest atoms and distances in Å follow each position.
Fractional coordinates of all 14 atoms:
Lu 0.0000 0.0000 0.0000  12 Ga 3.10-3.16, 4 Rh 3.36
Lu 0.3325 0.3325 0.0000  4 Rh 2.88-2.93, 8 Ga 2.96-3.08
Lu 0.6675 0.6675 0.0000  4 Rh 2.88-2.93, 8 Ga 2.96-3.08
Ga 0.0421 0.6712 0.3710  4 Ga 2.47-2.62, 1 Rh 2.52
Ga 0.1591 0.8761 0.2830  3 Rh 2.53-2.56, 3 Ga 2.58-2.62
Ga 0.3002 0.6712 0.6290  4 Ga 2.47-2.62, 1 Rh 2.52
Ga 0.4069 0.1239 0.2830  3 Rh 2.53-2.56, 3 Ga 2.58-2.62
Ga 0.5931 0.8761 0.7170  3 Rh 2.53-2.56, 3 Ga 2.58-2.62
Ga 0.6998 0.3288 0.3710  4 Ga 2.47-2.62, 1 Rh 2.52
Ga 0.8409 0.1239 0.7170  3 Rh 2.53-2.56, 3 Ga 2.58-2.62
Ga 0.9579 0.3288 0.6290  4 Ga 2.47-2.62, 1 Rh 2.52
Rh 0.2784 0.5000 0.7784  6 Ga 2.52-2.53
Rh 0.5000 0.0000 0.5000  4 Ga 2.56
Rh 0.7216 0.5000 0.2216  6 Ga 2.52-2.53

- energy of formation from the pure elements (eV/atom) = -0.7250
- total magnetic moment (μB per cell) = 0.00
- symmetry = Immm, No. 71